Entry 1:
NaSmTlBi after structural relaxation. Source: Alexandria via LeMat-Bulk, functional PBE.

Properties
* SG: No. 216
* DFT total energy: -3.393 eV/atom
* magnetic moment: 0.00 μB per formula unit

POSCAR file:
```
NaSmTlBi
1.0
7.780 0.000 0.000
0.000 7.780 0.000
0.000 0.000 7.780
Na Sm Tl Bi
4 4 4 4
direct
0.000 0.000 0.000
0.000 0.500 0.500
0.500 0.000 0.500
0.500 0.500 0.000
0.000 0.000 0.500
0.000 0.500 0.000
0.500 0.000 0.000
0.500 0.500 0.500
0.250 0.250 0.750
0.250 0.750 0.250
0.750 0.250 0.250
0.750 0.750 0.750
0.250 0.250 0.250
0.250 0.750 0.750
0.750 0.250 0.750
0.750 0.750 0.250
```

=====

Entry 2:
Na3Sn2Bi4 after structural relaxation. Source: Alexandria via LeMat-Bulk, functional PBE.

Properties
* SG: No. 15
* DFT total energy: -3.238 eV/atom
* magnetic moment: 0.00 μB per formula unit

POSCAR file:
```
Na3Sn2Bi4
1.0
7.730 -5.139 0.000
7.730 5.139 0.000
-0.003 0.000 7.161
Na Sn Bi
6 4 8
direct
0.022 0.978 0.750
0.309 0.359 0.246
0.359 0.309 0.746
0.641 0.691 0.254
0.691 0.641 0.754
0.978 0.022 0.250
0.009 0.331 0.530
0.331 0.009 0.030
0.669 0.991 0.970
0.991 0.669 0.470
0.021 0.312 0.960
0.312 0.021 0.460
0.333 0.660 0.528
0.340 0.667 0.972
0.660 0.333 0.028
0.667 0.340 0.472
0.688 0.979 0.540
0.979 0.688 0.040
```

=====

Entry 3:
NaSnBi2 after structural relaxation. Source: Alexandria via LeMat-Bulk, functional PBE.

Properties
* SG: No. 160
* DFT total energy: -3.274 eV/atom
* magnetic moment: 0.00 μB per formula unit

POSCAR file:
```
NaSnBi2
1.0
5.228 0.000 0.000
-2.614 4.527 0.000
0.000 0.000 16.774
Na Sn Bi
3 3 6
direct
0.000 0.000 0.000
0.333 0.667 0.667
0.667 0.333 0.333
0.000 0.000 0.194
0.333 0.667 0.860
0.667 0.333 0.527
0.000 0.000 0.429
0.000 0.000 0.613
0.333 0.667 0.096
0.333 0.667 0.280
0.667 0.333 0.763
0.667 0.333 0.947
```

=====

Entry 4:
Na8Sn2Bi after structural relaxation. Source: Alexandria via LeMat-Bulk, functional PBE.

Properties
* SG: No. 8
* DFT total energy: -2.249 eV/atom
* magnetic moment: 0.00 μB per formula unit

POSCAR file:
```
Na8Sn2Bi
1.0
8.030 -2.696 0.000
8.030 2.696 0.000
-5.044 0.000 7.787
Na Sn Bi
8 2 1
direct
0.000 0.000 0.000
0.287 0.287 0.699
0.299 0.299 0.338
0.510 0.510 0.720
0.614 0.614 0.450
0.676 0.676 0.143
0.777 0.777 0.897
0.955 0.955 0.377
0.175 0.175 0.912
0.403 0.403 0.116
0.839 0.839 0.572
```

=====

Entry 5:
Na5Sn2Bi5 after structural relaxation. Source: Alexandria via LeMat-Bulk, functional PBE.

Properties
* SG: No. 12
* DFT total energy: -2.992 eV/atom
* magnetic moment: 0.00 μB per formula unit

POSCAR file:
```
Na5Sn2Bi5
1.0
8.746 -1.778 0.000
8.746 1.778 0.000
-7.237 0.000 11.889
Na Sn Bi
5 2 5
direct
0.000 0.000 0.000
0.168 0.168 0.757
0.169 0.169 0.513
0.831 0.831 0.487
0.832 0.832 0.243
0.476 0.476 0.720
0.524 0.524 0.280
0.170 0.170 0.271
0.351 0.351 0.050
0.500 0.500 0.500
0.649 0.649 0.950
0.830 0.830 0.729
```

=====

Entry 6:
Na2SnBi after structural relaxation. Source: Alexandria via LeMat-Bulk, functional PBE.

Properties
* SG: No. 14
* DFT total energy: -2.806 eV/atom
* magnetic moment: 0.00 μB per formula unit

POSCAR file:
```
Na2SnBi
1.0
7.920 0.000 0.000
0.000 6.935 0.000
-7.136 0.000 8.824
Na Sn Bi
8 4 4
direct
0.037 0.242 0.020
0.037 0.258 0.520
0.242 0.609 0.352
0.242 0.891 0.852
0.758 0.109 0.148
0.758 0.391 0.648
0.963 0.742 0.480
0.963 0.758 0.980
0.304 0.113 0.397
0.304 0.387 0.897
0.696 0.613 0.103
0.696 0.887 0.603
0.477 0.637 0.726
0.477 0.863 0.226
0.523 0.137 0.774
0.523 0.363 0.274
```

=====

Entry 7:
Na3SnBi after structural relaxation. Source: Alexandria via LeMat-Bulk, functional PBE.

Properties
* SG: No. 12
* DFT total energy: -2.502 eV/atom
* magnetic moment: 0.00 μB per formula unit

POSCAR file:
```
Na3SnBi
1.0
4.894 -5.175 0.000
4.894 5.175 0.000
-2.950 0.000 6.582
Na Sn Bi
6 2 2
direct
0.069 0.069 0.273
0.074 0.561 0.288
0.439 0.926 0.712
0.561 0.074 0.288
0.926 0.439 0.712
0.931 0.931 0.727
0.281 0.281 0.001
0.719 0.719 0.999
0.393 0.393 0.670
0.607 0.607 0.330
```

=====

Entry 8:
Na4SnBi3 after structural relaxation. Source: Alexandria via LeMat-Bulk, functional PBE.

Properties
* SG: No. 140
* DFT total energy: -2.837 eV/atom
* magnetic moment: 0.00 μB per formula unit

POSCAR file:
```
Na4SnBi3
1.0
-6.328 6.328 3.167
6.328 -6.328 3.167
6.328 6.328 -3.167
Na Sn Bi
8 2 6
direct
0.077 0.780 0.857
0.220 0.077 0.298
0.280 0.577 0.857
0.423 0.280 0.702
0.577 0.720 0.298
0.720 0.423 0.143
0.780 0.923 0.702
0.923 0.220 0.143
0.250 0.750 0.500
0.750 0.250 0.500
0.151 0.349 0.500
0.250 0.250 0.000
0.349 0.849 0.199
0.651 0.151 0.801
0.750 0.750 0.000
0.849 0.651 0.500
```